# BeTlFe3 (PBE, relaxed)
data_BeTlFe3
_cell_length_a 4.099
_cell_length_b 4.099
_cell_length_c 4.099
_cell_angle_alpha 90.00
_cell_angle_beta 90.00
_cell_angle_gamma 90.00
_symmetry_space_group_name_H-M 'P m -3 m'
_symmetry_Int_Tables_number 221
_symmetry_space_group_name_Hall '-P 4 2 3'
loop_
_atom_site_label
_atom_site_type_symbol
_atom_site_fract_x
_atom_site_fract_y
_atom_site_fract_z
Be1 Be 0.000 0.000 0.000
Tl1 Tl 0.500 0.500 0.500
Fe1 Fe 0.000 0.000 0.500
# Final energy = -28.79 eV per cell
# Energy relative to the lowest polymorph listed for this composition = 0 kJ/mol of formula units
# Formation energy = 539 meV per atom